Entry 1:
PrHo7Er5, relaxed, DFT GGA-PBE; space-group type = Imm2; DFT total energy = -4.337 eV per atom
1.0
-5.193 2.394 3.420
-4.261 -6.145 4.321
2.036 2.068 8.135
Er Ho Pr
5 7 1
direct
0.735 0.765 0.765 Er
0.466 0.538 0.998 Er
0.998 0.538 0.998 Er
0.998 0.998 0.538 Er
0.466 0.998 0.538 Er
0.482 0.189 0.847 Ho
0.728 0.272 0.272 Ho
0.422 0.578 0.578 Ho
0.981 0.690 0.348 Ho
0.981 0.348 0.690 Ho
0.482 0.847 0.189 Ho
0.230 0.270 0.270 Ho
0.032 0.968 0.968 Pr



Entry 2:
Pr7Ho2Er3, relaxed, DFT GGA-PBE; space-group type = P2/m; DFT total energy = -4.596 eV per atom
1.0
-2.305 -2.677 -0.859
3.798 -1.965 -4.067
7.320 -10.806 14.034
Pr Er Ho
7 3 2
direct
0.000 0.671 0.146 Pr
0.500 0.258 0.534 Pr
0.500 0.742 0.466 Pr
0.500 0.175 0.185 Pr
0.500 0.825 0.815 Pr
0.000 0.329 0.854 Pr
0.000 0.000 0.000 Pr
0.000 0.218 0.368 Er
0.000 0.782 0.632 Er
0.500 0.500 0.000 Er
0.500 0.293 0.701 Ho
0.500 0.707 0.299 Ho



Entry 3:
Pr3Ho4Er2, relaxed, DFT GGA-PBE; space-group type = C2/c; DFT total energy = -4.540 eV per atom
1.0
5.832 1.625 1.163
2.249 10.993 0.662
2.249 4.169 10.194
Ho Pr Er
8 6 4
direct
0.577 0.395 0.155 Ho
0.923 0.845 0.605 Ho
0.421 0.939 0.179 Ho
0.921 0.179 0.939 Ho
0.579 0.061 0.821 Ho
0.079 0.821 0.061 Ho
0.423 0.605 0.845 Ho
0.077 0.155 0.395 Ho
0.250 0.641 0.359 Pr
0.748 0.027 0.307 Pr
0.252 0.973 0.693 Pr
0.752 0.693 0.973 Pr
0.248 0.307 0.027 Pr
0.750 0.359 0.641 Pr
0.419 0.274 0.512 Er
0.581 0.726 0.488 Er
0.919 0.512 0.274 Er
0.081 0.488 0.726 Er



Entry 4:
Pr3HoEr, relaxed, DFT GGA-PBE; space-group type = Pbcm; DFT total energy = -4.531 eV per atom
1.0
-0.541 2.020 -2.918
-10.706 -2.888 -0.016
-3.758 13.872 10.299
Pr Er Ho
12 4 4
direct
0.245 0.943 0.924 Pr
0.245 0.443 0.576 Pr
0.245 0.057 0.576 Pr
0.258 0.000 0.250 Pr
0.755 0.057 0.076 Pr
0.755 0.557 0.424 Pr
0.755 0.943 0.424 Pr
0.258 0.500 0.250 Pr
0.742 0.500 0.750 Pr
0.245 0.557 0.924 Pr
0.755 0.443 0.076 Pr
0.742 0.000 0.750 Pr
0.240 0.250 0.726 Er
0.760 0.250 0.226 Er
0.760 0.750 0.274 Er
0.240 0.750 0.774 Er
0.738 0.250 0.898 Ho
0.262 0.250 0.398 Ho
0.738 0.750 0.602 Ho
0.262 0.750 0.102 Ho



Entry 5:
PrHo5Er3, relaxed, DFT GGA-PBE; space-group type = C2/c; DFT total energy = -4.264 eV per atom
1.0
3.063 8.522 -1.334
-3.063 8.522 -1.334
0.000 1.825 11.026
Ho Er Pr
10 6 2
direct
0.385 0.967 0.751 Ho
0.437 0.892 0.419 Ho
0.108 0.563 0.081 Ho
0.967 0.385 0.251 Ho
0.892 0.437 0.919 Ho
0.615 0.033 0.249 Ho
0.605 0.395 0.250 Ho
0.033 0.615 0.749 Ho
0.395 0.605 0.750 Ho
0.563 0.108 0.581 Ho
0.000 0.000 0.500 Er
0.103 0.566 0.417 Er
0.566 0.103 0.917 Er
0.897 0.434 0.583 Er
0.000 0.000 0.000 Er
0.434 0.897 0.083 Er
0.131 0.869 0.250 Pr
0.869 0.131 0.750 Pr



Entry 6:
Pr2Ho4Er5, relaxed, DFT GGA-PBE; space-group type = P-1; DFT total energy = -4.584 eV per atom
1.0
3.514 -0.516 -0.047
-2.318 8.893 -1.949
1.870 -0.509 11.606
Pr Er Ho
2 5 4
direct
0.137 0.729 0.183 Pr
0.863 0.271 0.817 Pr
0.044 0.907 0.726 Er
0.500 0.000 0.000 Er
0.410 0.182 0.543 Er
0.590 0.818 0.457 Er
0.956 0.093 0.274 Er
0.687 0.640 0.906 Ho
0.229 0.546 0.635 Ho
0.313 0.360 0.094 Ho
0.771 0.454 0.365 Ho



Entry 7:
Pr4Ho2Er, relaxed, DFT GGA-PBE; space-group type = Fdd2; DFT total energy = -4.629 eV per atom
1.0
0.408 9.358 -8.483
-4.492 -11.192 3.776
-2.491 3.697 5.202
Pr Er Ho
8 2 4
direct
0.041 0.150 0.604 Pr
0.600 0.563 0.640 Pr
0.711 0.173 0.861 Pr
0.186 0.795 0.896 Pr
0.150 0.041 0.104 Pr
0.173 0.711 0.361 Pr
0.795 0.186 0.396 Pr
0.563 0.600 0.140 Pr
0.421 0.671 0.500 Er
0.671 0.421 0.000 Er
0.921 0.103 0.048 Ho
0.103 0.921 0.548 Ho
0.305 0.623 0.952 Ho
0.623 0.305 0.452 Ho



Entry 8:
Pr12Ho5Er2, relaxed, DFT GGA-PBE; space-group type = C2/m; DFT total energy = -4.605 eV per atom
1.0
-6.385 9.905 0.763
1.207 -6.896 8.223
5.264 3.350 0.562
Ho Pr Er
5 12 2
direct
0.784 0.568 0.444 Ho
0.216 0.432 0.556 Ho
0.000 0.000 0.500 Ho
0.322 0.643 0.141 Ho
0.678 0.357 0.859 Ho
0.557 0.113 0.273 Pr
0.881 0.762 0.995 Pr
0.938 0.392 0.198 Pr
0.856 0.207 0.617 Pr
0.455 0.392 0.198 Pr
0.545 0.608 0.802 Pr
0.351 0.207 0.617 Pr
0.144 0.793 0.383 Pr
0.062 0.608 0.802 Pr
0.649 0.793 0.383 Pr
0.443 0.887 0.727 Pr
0.119 0.238 0.005 Pr
0.233 0.000 0.000 Er
0.767 0.000 0.000 Er



In the order shown, the computed formation enthalpy at 0 K values come out to 0.25, 0.10, 0.10, 0.16, 0.33, 0.02, 0.06, 0.10 eV/atom.